[1]
## Na19Ag4 (PBE-GGA)

Data for a geometry-optimized Na19Ag4 structure.

Lattice parameters (Å, degrees): 15.3706 15.3706 15.3706 90.00 90.00 90.00
Atoms (fractional coordinates):
Na: 0.0000 0.0000 0.3510
Na: 0.0000 0.0000 0.6490
Na: 0.0000 0.1694 0.1146
Na: 0.0000 0.1694 0.8854
Na: 0.0000 0.3157 0.4028
Na: 0.0000 0.3157 0.5972
Na: 0.0000 0.3510 0.0000
Na: 0.0000 0.5000 0.3079
Na: 0.0000 0.5000 0.6921
Na: 0.0000 0.6490 0.0000
Na: 0.0000 0.6843 0.4028
Na: 0.0000 0.6843 0.5972
Na: 0.0000 0.8306 0.1146
Na: 0.0000 0.8306 0.8854
Na: 0.1088 0.5000 0.1213
Na: 0.1088 0.5000 0.8787
Na: 0.1146 0.0000 0.1694
Na: 0.1146 0.0000 0.8306
Na: 0.1182 0.1826 0.2985
Na: 0.1182 0.1826 0.7015
Na: 0.1182 0.8174 0.2985
Na: 0.1182 0.8174 0.7015
Na: 0.1213 0.1088 0.5000
Na: 0.1213 0.8912 0.5000
Na: 0.1230 0.5000 0.5000
Na: 0.1694 0.1146 0.0000
Na: 0.1694 0.8854 0.0000
Na: 0.1826 0.2985 0.1182
Na: 0.1826 0.2985 0.8818
Na: 0.1826 0.7015 0.1182
Na: 0.1826 0.7015 0.8818
Na: 0.1964 0.3872 0.3141
Na: 0.1964 0.3872 0.6859
Na: 0.1964 0.6128 0.3141
Na: 0.1964 0.6128 0.6859
Na: 0.2985 0.1182 0.1826
Na: 0.2985 0.1182 0.8174
Na: 0.2985 0.8818 0.1826
Na: 0.2985 0.8818 0.8174
Na: 0.3079 0.0000 0.5000
Na: 0.3141 0.1964 0.3872
Na: 0.3141 0.1964 0.6128
Na: 0.3141 0.8036 0.3872
Na: 0.3141 0.8036 0.6128
Na: 0.3157 0.4028 0.0000
Na: 0.3157 0.5972 0.0000
Na: 0.3264 0.3939 0.5000
Na: 0.3264 0.6061 0.5000
Na: 0.3510 0.0000 0.0000
Na: 0.3872 0.3141 0.1964
Na: 0.3872 0.3141 0.8036
Na: 0.3872 0.6859 0.1964
Na: 0.3872 0.6859 0.8036
Na: 0.3939 0.5000 0.3264
Na: 0.3939 0.5000 0.6736
Na: 0.4028 0.0000 0.3157
Na: 0.4028 0.0000 0.6843
Na: 0.5000 0.1213 0.1088
Na: 0.5000 0.1213 0.8912
Na: 0.5000 0.1230 0.5000
Na: 0.5000 0.3079 0.0000
Na: 0.5000 0.3264 0.3939
Na: 0.5000 0.3264 0.6061
Na: 0.5000 0.5000 0.1230
Na: 0.5000 0.5000 0.8770
Na: 0.5000 0.6736 0.3939
Na: 0.5000 0.6736 0.6061
Na: 0.5000 0.6921 0.0000
Na: 0.5000 0.8770 0.5000
Na: 0.5000 0.8787 0.1088
Na: 0.5000 0.8787 0.8912
Na: 0.5972 0.0000 0.3157
Na: 0.5972 0.0000 0.6843
Na: 0.6061 0.5000 0.3264
Na: 0.6061 0.5000 0.6736
Na: 0.6128 0.3141 0.1964
Na: 0.6128 0.3141 0.8036
Na: 0.6128 0.6859 0.1964
Na: 0.6128 0.6859 0.8036
Na: 0.6490 0.0000 0.0000
Na: 0.6736 0.3939 0.5000
Na: 0.6736 0.6061 0.5000
Na: 0.6843 0.4028 0.0000
Na: 0.6843 0.5972 0.0000
Na: 0.6859 0.1964 0.3872
Na: 0.6859 0.1964 0.6128
Na: 0.6859 0.8036 0.3872
Na: 0.6859 0.8036 0.6128
Na: 0.6921 0.0000 0.5000
Na: 0.7015 0.1182 0.1826
Na: 0.7015 0.1182 0.8174
Na: 0.7015 0.8818 0.1826
Na: 0.7015 0.8818 0.8174
Na: 0.8036 0.3872 0.3141
Na: 0.8036 0.3872 0.6859
Na: 0.8036 0.6128 0.3141
Na: 0.8036 0.6128 0.6859
Na: 0.8174 0.2985 0.1182
Na: 0.8174 0.2985 0.8818
Na: 0.8174 0.7015 0.1182
Na: 0.8174 0.7015 0.8818
Na: 0.8306 0.1146 0.0000
Na: 0.8306 0.8854 0.0000
Na: 0.8770 0.5000 0.5000
Na: 0.8787 0.1088 0.5000
Na: 0.8787 0.8912 0.5000
Na: 0.8818 0.1826 0.2985
Na: 0.8818 0.1826 0.7015
Na: 0.8818 0.8174 0.2985
Na: 0.8818 0.8174 0.7015
Na: 0.8854 0.0000 0.1694
Na: 0.8854 0.0000 0.8306
Na: 0.8912 0.5000 0.1213
Na: 0.8912 0.5000 0.8787
Ag: 0.0000 0.3376 0.2054
Ag: 0.0000 0.3376 0.7946
Ag: 0.0000 0.6624 0.2054
Ag: 0.0000 0.6624 0.7946
Ag: 0.1690 0.2940 0.5000
Ag: 0.1690 0.7060 0.5000
Ag: 0.2054 0.0000 0.3376
Ag: 0.2054 0.0000 0.6624
Ag: 0.2940 0.5000 0.1690
Ag: 0.2940 0.5000 0.8310
Ag: 0.3376 0.2054 0.0000
Ag: 0.3376 0.7946 0.0000
Ag: 0.5000 0.1690 0.2940
Ag: 0.5000 0.1690 0.7060
Ag: 0.5000 0.8310 0.2940
Ag: 0.5000 0.8310 0.7060
Ag: 0.6624 0.2054 0.0000
Ag: 0.6624 0.7946 0.0000
Ag: 0.7060 0.5000 0.1690
Ag: 0.7060 0.5000 0.8310
Ag: 0.7946 0.0000 0.3376
Ag: 0.7946 0.0000 0.6624
Ag: 0.8310 0.2940 0.5000
Ag: 0.8310 0.7060 0.5000

The total energy comes out at -213.66 eV/cell. Its volume is 3631.36 Å³ per cell.


[2]
## NaNbAgS3 (PBE-GGA)

Data for a geometry-optimized NaNbAgS3 structure.

Lattice parameters (Å, degrees): 6.9747 6.9747 9.9078 90.00 90.00 150.40
Atoms (fractional coordinates):
Na: 0.2469 0.7531 0.7500
Na: 0.7531 0.2469 0.2500
Nb: 0.5000 0.5000 0.0000
Nb: 0.5000 0.5000 0.5000
Ag: 0.0548 0.9452 0.2500
Ag: 0.9452 0.0548 0.7500
S: 0.1319 0.8681 0.0311
S: 0.1319 0.8681 0.4689
S: 0.4204 0.5796 0.2500
S: 0.5796 0.4204 0.7500
S: 0.8681 0.1319 0.5311
S: 0.8681 0.1319 0.9689

The total energy comes out at -61.03 eV/cell. Its volume is 238.10 Å³ per cell.


[3]
## NaNbAgSe2S (PBE-GGA)

Data for a geometry-optimized NaNbAgSe2S structure.

Lattice parameters (Å, degrees): 7.1900 7.1900 9.9838 90.00 90.00 150.25
Atoms (fractional coordinates):
Na: 0.2453 0.7547 0.7500
Na: 0.7547 0.2453 0.2500
Nb: 0.5000 0.5000 0.0000
Nb: 0.5000 0.5000 0.5000
Ag: 0.0483 0.9517 0.2500
Ag: 0.9517 0.0483 0.7500
Se: 0.1376 0.8624 0.0298
Se: 0.1376 0.8624 0.4702
Se: 0.8624 0.1376 0.5298
Se: 0.8624 0.1376 0.9702
S: 0.4247 0.5753 0.2500
S: 0.5753 0.4247 0.7500

The total energy comes out at -57.72 eV/cell. Its volume is 256.14 Å³ per cell.


[4]
## NaNbAgTe2S (PBE-GGA)

Data for a geometry-optimized NaNbAgTe2S structure.

Lattice parameters (Å, degrees): 7.5945 7.5945 10.1600 90.00 90.00 150.09
Atoms (fractional coordinates):
Na: 0.2419 0.7581 0.7500
Na: 0.7581 0.2419 0.2500
Nb: 0.5000 0.5000 0.0000
Nb: 0.5000 0.5000 0.5000
Ag: 0.0378 0.9622 0.2500
Ag: 0.9622 0.0378 0.7500
Te: 0.1429 0.8571 0.0310
Te: 0.1429 0.8571 0.4690
Te: 0.8571 0.1429 0.5310
Te: 0.8571 0.1429 0.9690
S: 0.4332 0.5668 0.2500
S: 0.5668 0.4332 0.7500

The total energy comes out at -54.10 eV/cell. Its volume is 292.22 Å³ per cell.


[5]
## NaNbAgTe3 (PBE-GGA)

Data for a geometry-optimized NaNbAgTe3 structure.

Lattice parameters (Å, degrees): 7.6757 7.6757 10.8590 90.00 90.00 150.57
Atoms (fractional coordinates):
Na: 0.2298 0.7702 0.7500
Na: 0.7702 0.2298 0.2500
Nb: 0.0000 0.0000 0.0000
Nb: 0.0000 0.0000 0.5000
Ag: 0.4546 0.5454 0.2500
Ag: 0.5454 0.4546 0.7500
Te: 0.0884 0.9116 0.2500
Te: 0.3615 0.6385 0.0348
Te: 0.3615 0.6385 0.4652
Te: 0.6385 0.3615 0.5348
Te: 0.6385 0.3615 0.9652
Te: 0.9116 0.0884 0.7500

The total energy comes out at -51.45 eV/cell. Its volume is 314.40 Å³ per cell.


[6]
## NaNdAg (PBE-GGA)

Data for a geometry-optimized NaNdAg structure.

Lattice parameters (Å, degrees): 5.0237 5.0237 5.0237 60.00 60.00 60.00
Atoms (fractional coordinates):
Na: 0.0000 0.0000 0.0000
Nd: 0.5000 0.5000 0.5000
Ag: 0.2500 0.2500 0.2500

The total energy comes out at -8.57 eV/cell. Its volume is 89.65 Å³ per cell.


Question: What is the formula in the third record?
Answer: NaNbAgSe2S